Entry from the Alexandria database: an optimized crystal structure of RbGe2AsS6 (PBE).

a b c (Å): 10.117 9.365 9.365
angles (deg): 66.35 60.62 60.62
Positions (direct):
S 0.018 0.819 0.649
S 0.551 0.080 0.593
S 0.051 0.593 0.080
S 0.449 0.920 0.407
S 0.168 0.061 0.791
S 0.668 0.791 0.061
S 0.982 0.181 0.351
S 0.482 0.351 0.181
S 0.832 0.939 0.209
S 0.518 0.649 0.819
S 0.949 0.407 0.920
S 0.332 0.209 0.939
Ge 0.571 0.115 0.324
Ge 0.429 0.885 0.676
Ge 0.071 0.324 0.115
Ge 0.929 0.676 0.885
Rb 0.750 0.214 0.786
Rb 0.250 0.786 0.214
As 0.250 0.276 0.724
As 0.750 0.724 0.276

Calculated values
- Raw total energy: -43.7 eV per formula unit
- SG: C2/c
- Calculated volume: 32.9 Å³ per atom
- M_tot: 0.000 μB per formula unit